[1]
The following is a PBE-GGA calculation of an optimized crystal structure of Pr3Be2CuPd9, from Alexandria.

```
15
Lattice="6.6873 0.0000 0.0000 -3.3436 5.7914 0.0000 0.0000 0.0000 7.1440" Properties=species:S:1:pos:R:3 pbc="T T T"
Pr 0.0000 3.8609 4.7654
Pr 0.0000 0.0000 0.0000
Pr 3.3436 1.9304 2.3786
Be 0.0000 3.8609 1.0157
Be 3.3436 1.9304 6.1283
Cu 0.0000 0.0000 3.5720
Pd 4.8554 1.0576 4.8096
Pd 3.3436 3.6761 4.8096
Pd 1.8319 1.0576 4.8096
Pd 1.5118 4.7337 2.3344
Pd 0.0000 2.1153 2.3344
Pd -1.5118 4.7337 2.3344
Pd 3.3436 0.0000 0.0000
Pd -1.6718 2.8957 0.0000
Pd 1.6718 2.8957 0.0000
```

**Total DFT energy (no corrections)**: -80.81 eV for the cell shown
**Crystal system**: trigonal
**Calculated volume**: 277 Å³/cell
**Space-group type**: P-3m1 (164)

[2]
The following is a PBE-GGA calculation of an optimized crystal structure of Pr2BeCuPd6, from Alexandria.

```
10
Lattice="-2.9538 3.5525 -3.6966 0.3891 -4.9127 -5.0678 -5.1242 -3.1545 -3.7525" Properties=species:S:1:pos:R:3 pbc="T T T"
Pr -4.8334 -0.4789 -6.1016
Pr -2.8555 -4.0357 -6.4153
Be -1.2824 -0.6801 -4.3822
Cu 0.0000 0.0000 0.0000
Pd -3.1290 -1.6414 -3.8343
Pd -6.9295 -3.8905 -10.2154
Pd -5.3651 -5.7112 -8.2683
Pd -2.3239 1.1965 -4.2486
Pd -0.7595 -0.6242 -2.3015
Pd -4.5599 -2.8732 -8.6826
```

**Total DFT energy (no corrections)**: -54.00 eV for the cell shown
**Crystal system**: triclinic
**Calculated volume**: 188 Å³/cell
**Space-group type**: P-1 (2)

[3]
The following is a PBE-GGA calculation of an optimized crystal structure of BeCuPdPt, from Alexandria.

```
4
Lattice="2.8029 0.0000 0.0000 0.0000 2.8029 0.0000 0.0000 0.0000 6.4499" Properties=species:S:1:pos:R:3 pbc="T T T"
Be 0.0000 0.0000 3.6600
Cu 0.0000 0.0000 0.4589
Pd 1.4015 1.4015 5.1126
Pt 1.4015 1.4015 2.2795
```

**Total DFT energy (no corrections)**: -20.91 eV for the cell shown
**Crystal system**: tetragonal
**Calculated volume**: 51 Å³/cell
**Space-group type**: P4mm (99)

[4]
The following is a PBE-GGA calculation of an optimized crystal structure of Pu2BeCuPd6, from Alexandria.

```
10
Lattice="5.9412 0.0059 0.5589 0.0216 6.7697 -0.0227 3.3583 3.3862 4.7586" Properties=species:S:1:pos:R:3 pbc="T T T"
Pu 5.6616 3.3878 3.1217
Pu 3.6595 6.7740 2.1731
Be 2.9814 3.3878 0.2681
Cu 0.0000 0.0000 0.0000
Pd 2.6899 2.8209 2.3896
Pd 4.8944 4.4863 0.4608
Pd 1.6255 5.0277 0.8587
Pd 7.6957 5.1341 4.4362
Pd 4.4267 5.6756 4.8341
Pd 6.6312 7.3409 2.9053
```

**Total DFT energy (no corrections)**: -70.74 eV for the cell shown
**Crystal system**: triclinic
**Calculated volume**: 179 Å³/cell
**Space-group type**: P-1 (2)

[5]
The following is a PBE-GGA calculation of an optimized crystal structure of RbBeCuPd2, from Alexandria.

```
5
Lattice="-1.0853 -1.7725 -4.3130 5.3034 0.6718 -1.6106 1.0303 -4.4100 1.5531" Properties=species:S:1:pos:R:3 pbc="T T T"
Be 2.6242 -2.7553 -2.1853
Cu 0.0000 0.0000 0.0000
Rb 2.6517 0.3359 -0.8053
Pd 0.5152 -2.2050 0.7765
Pd -0.5427 -0.8862 -2.1565
```

**Total DFT energy (no corrections)**: -13.84 eV for the cell shown
**Crystal system**: tetragonal
**Calculated volume**: 128 Å³/cell
**Space-group type**: P4/mmm (123)

[6]
The following is a PBE-GGA calculation of an optimized crystal structure of BeCuPd2Ru, from Alexandria.

```
5
Lattice="4.7543 0.0000 0.0000 0.0000 4.6076 0.0000 0.0000 0.0000 4.7543" Properties=species:S:1:pos:R:3 pbc="T T T"
Ru 0.0000 0.0000 0.0000
Cu 0.0000 2.3038 0.0000
Pd 0.0000 0.0000 2.3772
Pd 2.3772 0.0000 0.0000
Be 2.3772 2.3038 2.3772
```

**Total DFT energy (no corrections)**: -19.67 eV for the cell shown
**Crystal system**: tetragonal
**Calculated volume**: 104 Å³/cell
**Space-group type**: P4/mmm (123)